Here is Tb2W3O12 after structural relaxation from Alexandria. Energies are from GGA+U.

Cell: 6.927 6.927 11.438 Å, 100.54 100.54 111.71°
Fractional positions:
Tb 0.042 0.288 0.093
Tb 0.288 0.042 0.593
Tb 0.712 0.958 0.407
Tb 0.958 0.712 0.907
W 0.135 0.865 0.250
W 0.248 0.461 0.450
W 0.461 0.248 0.950
W 0.539 0.752 0.050
W 0.752 0.539 0.550
W 0.865 0.135 0.750
O 0.077 0.659 0.105
O 0.081 0.182 0.458
O 0.104 0.464 0.298
O 0.125 0.208 0.719
O 0.182 0.081 0.958
O 0.208 0.125 0.219
O 0.228 0.665 0.561
O 0.335 0.772 0.939
O 0.341 0.923 0.395
O 0.395 0.470 0.074
O 0.464 0.104 0.798
O 0.470 0.395 0.574
O 0.530 0.605 0.426
O 0.536 0.896 0.202
O 0.605 0.530 0.926
O 0.659 0.077 0.605
O 0.665 0.228 0.061
O 0.772 0.335 0.439
O 0.792 0.875 0.781
O 0.818 0.919 0.042
O 0.875 0.792 0.281
O 0.896 0.536 0.702
O 0.919 0.818 0.542
O 0.923 0.341 0.895

## Properties
Crystal system: monoclinic
Electronic total energy: -132.61 eV/f.u.
Mass density: 7.311 g/cm³
Symmetry: C2/c